! PBE-GGA La4Dy3Tm4, optimized geometry; values from VASP
! E above lowest polymorph, eV per atom: 0.000
! Total energy, eV/atom: -4.623
! DFT formation energy, eV/atom: 0.0500
! Space group: C2/m, No. 12
&SYSTEM
  ibrav = 0, nat = 11, ntyp = 3
/
ATOMIC_SPECIES
La 138.91 La.upf
Dy 162.50 Dy.upf
Tm 168.93 Tm.upf
CELL_PARAMETERS angstrom
-3.038 0.724 1.795
2.720 -0.718 4.892
4.147 17.550 3.523
ATOMIC_POSITIONS angstrom
La 3.535 15.725 6.851
La 0.294 1.831 3.359
La 2.729 5.859 5.851
La 1.101 11.697 4.359
Dy 4.243 12.044 5.918
Dy -0.413 5.513 4.292
Dy -0.318 0.006 6.687
Tm 3.340 14.291 3.494
Tm 1.863 8.242 3.428
Tm 1.967 9.314 6.782
Tm 0.489 3.265 6.716

! PBE-GGA La2DyTm2, optimized geometry; values from VASP
! E above lowest polymorph, eV per atom: 0.275
! Total energy, eV/atom: -4.162
! DFT formation energy, eV/atom: 0.5179
! Space group: I4/mcm, No. 140
&SYSTEM
  ibrav = 0, nat = 10, ntyp = 3
/
ATOMIC_SPECIES
La 138.91 La.upf
Dy 162.50 Dy.upf
Tm 168.93 Tm.upf
CELL_PARAMETERS angstrom
9.309 0.000 -5.047
-2.736 8.898 -5.047
-2.011 -2.723 7.399
ATOMIC_POSITIONS angstrom
La 7.218 3.471 -6.460
La -0.645 5.427 -3.633
La 3.243 7.919 -7.570
La 3.330 0.978 -2.523
Dy 3.924 5.312 -3.871
Dy 0.638 0.863 1.176
Tm 0.668 7.204 -5.649
Tm 5.905 1.693 -4.444
Tm 0.924 2.756 -2.523
Tm 5.649 6.142 -7.570

! PBE-GGA LaDyTm6, optimized geometry; values from VASP
! E above lowest polymorph, eV per atom: 0.000
! Total energy, eV/atom: -4.513
! DFT formation energy, eV/atom: 0.0321
! Space group: P4/mmm, No. 123
&SYSTEM
  ibrav = 0, nat = 8, ntyp = 3
/
ATOMIC_SPECIES
La 138.91 La.upf
Dy 162.50 Dy.upf
Tm 168.93 Tm.upf
CELL_PARAMETERS angstrom
4.984 0.000 0.000
0.000 7.015 -0.789
0.000 0.791 7.015
ATOMIC_POSITIONS angstrom
La 2.492 3.903 3.113
Dy 2.492 0.000 0.000
Tm 2.492 0.395 3.507
Tm 2.492 3.507 -0.394
Tm 0.000 1.926 1.536
Tm 0.000 5.880 4.689
Tm 0.000 5.479 1.136
Tm 0.000 2.326 5.090